Record 1
Compound: K2AcRe3O12
Source: Alexandria via LeMat-Bulk
Functional: PBE-GGA
Structure: relaxed

Cell lengths 7.068, 7.068, 7.068 Å; angles 64.08, 64.08, 64.08 degrees
Element x y z (fractional)
K1 0.112 0.112 0.112
K2 0.888 0.888 0.888
Ac1 0.500 0.500 0.500
Re1 0.000 0.500 0.500
Re2 0.500 0.000 0.500
Re3 0.500 0.500 0.000
O1 0.066 0.629 0.629
O2 0.229 0.228 0.594
O3 0.229 0.594 0.229
O4 0.371 0.371 0.934
O5 0.371 0.934 0.371
O6 0.406 0.771 0.771
O7 0.594 0.229 0.228
O8 0.629 0.066 0.629
O9 0.629 0.629 0.066
O10 0.772 0.406 0.772
O11 0.772 0.771 0.406
O12 0.934 0.371 0.371

Properties
D(E_F) = 0.32 states/eV per atom
space-group type = R-3m

***

Record 2
Compound: KAcRe2O8
Source: Alexandria via LeMat-Bulk
Functional: PBE-GGA
Structure: relaxed

Cell lengths 6.203, 6.203, 7.897 Å; angles 90.00, 90.00, 120.00 degrees
Element x y z (fractional)
K1 0.000 0.000 0.000
Ac1 0.000 0.000 0.500
Re1 0.333 0.667 0.786
Re2 0.667 0.333 0.214
O1 0.174 0.824 0.705
O2 0.176 0.350 0.705
O3 0.333 0.667 0.009
O4 0.350 0.174 0.295
O5 0.650 0.826 0.705
O6 0.667 0.333 0.991
O7 0.824 0.650 0.295
O8 0.826 0.176 0.295

Properties
D(E_F) = 0.70 states/eV per atom
space-group type = P-3

***

Record 3
Compound: K3Ac3ReO8
Source: Alexandria via LeMat-Bulk
Functional: PBE-GGA
Structure: relaxed

Cell lengths 7.625, 7.625, 7.625 Å; angles 57.86, 57.86, 57.86 degrees
Element x y z (fractional)
K1 0.000 0.500 0.500
K2 0.500 0.000 0.500
K3 0.500 0.500 0.000
Ac1 0.000 0.000 0.500
Ac2 0.000 0.500 0.000
Ac3 0.500 0.000 0.000
Re1 0.500 0.500 0.500
O1 0.233 0.233 0.233
O2 0.273 0.701 0.701
O3 0.299 0.299 0.727
O4 0.299 0.727 0.299
O5 0.701 0.273 0.701
O6 0.701 0.701 0.273
O7 0.727 0.299 0.299
O8 0.767 0.767 0.767

Properties
D(E_F) = 0.10 states/eV per atom
space-group type = R-3m

***

Record 4
Compound: KAc2ReO8
Source: Alexandria via LeMat-Bulk
Functional: PBE-GGA
Structure: relaxed

Cell lengths 4.497, 5.451, 7.643 Å; angles 90.00, 105.65, 90.00 degrees
Element x y z (fractional)
K1 0.000 0.000 0.000
Ac1 0.381 0.500 0.712
Ac2 0.619 0.500 0.288
Re1 0.000 0.000 0.500
O1 0.165 0.500 0.997
O2 0.191 0.256 0.399
O3 0.191 0.744 0.399
O4 0.325 0.000 0.719
O5 0.675 0.000 0.281
O6 0.809 0.256 0.601
O7 0.809 0.744 0.601
O8 0.835 0.500 0.003

Properties
space-group type = P2/m

***

E
In order: -7.636; -7.798; -6.775; -7.371
Unit: eV per atom
Formation energy (no corrections)
In order: -183.8; -191.4; -218.0; -217.3
Unit: kJ/mol of atoms